12
Lattice="5.291 0.000 0.000 0.000 3.341 0.000 0.000 0.000 16.827" Properties=species:S:1:pos:R:3 comment="MgIn5 (meta-GGA SCAN, PBEsol geometry)" formation_energy_ev_per_atom=0.014 pbc="T T T"
Mg 0.000 0.000 0.000
Mg 0.000 1.670 8.414
In 0.000 0.000 5.648
In 0.000 0.000 11.144
In 0.000 1.670 2.730
In 0.000 1.670 14.061
In 2.646 0.000 3.694
In 2.646 0.000 9.253
In 2.646 0.000 14.929
In 2.646 1.670 0.839
In 2.646 1.670 6.515
In 2.646 1.670 12.108